A plane-wave DFT calculation with PBE was carried out for a geometry-optimized Li4PuMo3N8 structure.

The structure belongs to space group R-3m (No. 166, hexagonal axes); the cell edges are 6.1882, 6.1882 and 15.2604 Å and the angles 90.00°, 90.00° and 120.00°. The asymmetric unit holds Li at (0.0000, 0.0000, 0.0000), Li at (0.0000, 0.5000, 0.0000), Pu at (0.0000, 0.0000, 0.5000), Mo at (0.0000, 0.5000, 0.5000), N at (0.0000, 0.0000, 0.2416) and N at (0.0089, 0.5045, 0.7597).

The uncorrected formation energy comes out at -0.56 eV per atom. For the energy, the calculation gives -389.938 eV per cell.



A plane-wave DFT calculation with PBE was carried out for a geometry-optimized Li3Pu3MoN8 structure.

The structure belongs to space group R-3m (No. 166, hexagonal axes); the cell edges are 6.6472, 6.6472 and 15.0333 Å and the angles 90.00°, 90.00° and 120.00°. The asymmetric unit holds Li at (0.0000, 0.5000, 0.0000), Pu at (0.0000, 0.5000, 0.5000), Mo at (0.0000, 0.0000, 0.5000), N at (0.0000, 0.0000, 0.2389) and N at (0.0199, 0.5100, 0.2352).

The uncorrected formation energy comes out at -0.69 eV per atom. For the energy, the calculation gives -409.547 eV per cell.



A plane-wave DFT calculation with PBE was carried out for a geometry-optimized RbLiMo2N structure.

The structure belongs to space group P4/mmm (No. 123); the cell edges are 4.092, 4.092 and 5.647 Å and the angles 90.00°, 90.00° and 90.00°. The asymmetric unit holds Rb at (0.000, 0.000, 0.000), Li at (0.500, 0.500, 0.000), Mo at (0.000, 0.500, 0.500) and N at (0.500, 0.500, 0.500).

The uncorrected formation energy comes out at 0.67 eV per atom. For the energy, the calculation gives -29.508 eV per cell.



A plane-wave DFT calculation with PBE was carried out for a geometry-optimized Li3ReMo3N8 structure.

The structure belongs to space group C2/m (No. 12); the cell edges are 10.201, 5.888 and 6.259 Å and the angles 90.00°, 122.80° and 90.00°. The asymmetric unit holds Li at (0.000, 0.000, 0.000), Li at (0.250, 0.250, 0.000), Re at (0.000, 0.000, 0.500), Mo at (0.000, 0.500, 0.500), Mo at (0.250, 0.250, 0.500), N at (0.007, 0.246, 0.276), N at (0.239, 0.000, 0.724) and N at (0.244, 0.500, 0.731).

The uncorrected formation energy comes out at -0.23 eV per atom. For the energy, the calculation gives -241.470 eV per cell.